The following is a DFT calculation (PBE) of Ga2SnAuSe after structural relaxation.

Geometry as POSCAR:
```
Ga2SnAuSe
1.0
5.046 0.000 0.000
0.000 5.046 0.000
0.000 0.000 5.657
Ga Sn Au Se
2 1 1 1
Cartesian
0.000 2.523 0.000
2.523 0.000 0.000
0.000 0.000 2.828
2.523 2.523 2.828
0.000 0.000 0.000
```

Properties
N(E_F) in states/eV per atom: 0.8849
Space-group type: P4/mmm (123)
Crystal system: tetragonal
Formation energy (no corrections) in eV per formula unit: 2.34



The following is a DFT calculation (PBE) of ScAlPbO4 after structural relaxation.

Geometry as POSCAR:
```
ScAlPbO4
1.0
5.554 0.000 0.000
0.000 5.635 0.000
-1.863 0.000 6.530
Sc Al Pb O
2 2 2 8
Cartesian
0.928 1.409 0.292
2.764 4.226 6.238
-0.015 4.226 5.503
3.707 1.409 1.027
0.493 1.409 3.821
3.199 4.226 2.708
-1.220 2.915 5.362
-1.220 5.537 5.362
1.423 4.226 4.470
1.057 1.409 5.992
2.635 4.226 0.538
2.269 1.409 2.059
4.912 0.098 1.167
4.912 2.720 1.167
```

Properties
N(E_F) in states/eV per atom: 0.0000
Space-group type: P2_1/m (11)
Crystal system: monoclinic
Formation energy (no corrections) in eV per formula unit: -17.45



The following is a DFT calculation (PBE) of Rb2BiAu2 after structural relaxation.

Geometry as POSCAR:
```
Rb2BiAu2
1.0
-2.423 2.423 7.267
2.423 -2.423 7.267
2.423 2.423 -7.267
Rb Bi Au
2 1 2
Cartesian
2.423 0.000 3.634
0.000 2.423 3.634
0.000 0.000 0.000
0.000 0.000 5.932
0.000 0.000 8.602
```

Properties
N(E_F) in states/eV per atom: 0.7276
Space-group type: I4/mmm (139)
E above lowest polymorph in eV per formula unit: 2.60
Crystal system: tetragonal
Energy relative to the elements in eV per atom: 0.2213



Q: Among the records above, which one has the highest N(E_F)?
A: Ga2SnAuSe



Q: What is the formula in the first record?
A: Ga2SnAuSe